6
Lattice="13.724 0.000 -0.035 1.962 2.116 -3.095 -1.962 2.116 3.095" Properties=species:S:1:pos:R:3 comment="RbRuRh | Alexandria via LeMat-Bulk | PBE-GGA | optimized geometry" relative_energy_mev_per_atom=0 e_tot_ev_per_cell=-32.3 m_tot_mub_per_cell=0.55 pbc="T T T"
Rh 7.940 2.116 0.666
Rh 5.784 2.116 -0.701
Rb 2.548 2.116 0.139
Ru 8.155 2.116 -2.090
Rb 11.176 2.116 -0.175
Ru 5.569 2.116 2.055



8
Lattice="-0.733 -0.459 -5.573 -2.707 -4.889 0.759 -8.260 1.034 -1.853" Properties=species:S:1:pos:R:3 comment="RbTa2Fe | Alexandria via LeMat-Bulk | PBE-GGA | optimized geometry" relative_energy_mev_per_atom=32 e_tot_ev_per_cell=-52.3 m_tot_mub_per_cell=0.00 pbc="T T T"
Ta -8.528 -2.682 -5.792
Rb -5.356 -1.050 -4.916
Ta -4.032 -2.969 -2.079
Fe -6.344 -3.265 -1.750
Fe -1.720 -2.674 -2.407
Ta -8.162 -2.453 -3.005
Ta -2.678 -0.525 -2.458
Rb 0.000 0.000 0.000



3
Lattice="-0.957 -0.426 3.716 4.521 -1.620 0.978 -1.003 4.788 0.290" Properties=species:S:1:pos:R:3 comment="YPuSe | Alexandria via LeMat-Bulk | PBE-GGA | optimized geometry" relative_energy_mev_per_atom=224 e_tot_ev_per_cell=-25.9 m_tot_mub_per_cell=6.33 pbc="T T T"
Y -0.158 -0.070 0.615
Pu 2.043 0.233 3.221
Se 0.676 2.580 1.149